ScCdPb2 | SCAN | PBEsol geometry

abc: 4.5367 4.5367 9.4447
angles: 90.00 90.00 90.00
With the nearest neighbours (Å) after each atom.
Space group I4/mmm (No. 139)
Symmetry-distinct sites (fractional):
1 Sc 0.0000 0.0000 0.0000 x2  4 Cd 3.21, 8 Pb 3.27
2 Cd 0.0000 0.0000 0.5000 x2  4 Sc 3.21, 8 Pb 3.27
3 Pb 0.0000 0.5000 0.2500 x4  4 Pb 3.21, 4 Cd 3.27, 4 Sc 3.27

Results
The value obtained for the formation energy is -0.22 eV per atom. Its crystal system is tetragonal.

---

HfAs3Pd | SCAN | PBEsol geometry

abc: 5.0035 5.0035 5.0035
angles: 90.00 90.00 90.00
With the nearest neighbours (Å) after each atom.
Space group Pm-3m (No. 221)
Symmetry-distinct sites (fractional):
1 Hf 0.0000 0.0000 0.0000 x1  6 As 2.50
2 As 0.0000 0.0000 0.5000 x3  2 Hf 2.50
3 Pd 0.5000 0.5000 0.5000 x1  12 As 3.54

Results
The value obtained for the formation energy is 0.49 eV per atom. Its crystal system is cubic.

---

LaInPt | SCAN | PBEsol geometry

abc: 7.5937 7.5937 4.1611
angles: 90.00 90.00 120.00
With the nearest neighbours (Å) after each atom.
Space group P-62m (No. 189)
Symmetry-distinct sites (fractional):
1 La 0.0000 0.4139 0.0000 x3  5 Pt 3.09-3.14, 6 In 3.31-3.44
2 In 0.0000 0.7537 0.5000 x3  4 Pt 2.80-2.92
3 Pt 0.0000 0.0000 0.0000 x1  6 In 2.80
4 Pt 0.3333 0.6667 0.5000 x2  3 In 2.92, 6 La 3.09

Results
The value obtained for the formation energy is -1.18 eV per atom. Its crystal system is hexagonal.

---

MnWBr2 | SCAN | PBEsol geometry

abc: 3.2552 3.0147 8.2927
angles: 90.00 90.04 90.00
With the nearest neighbours (Å) after each atom.
Space group Pm (No. 6)
Symmetry-distinct sites (fractional):
1 Mn 0.0000 0.0000 0.0000 x1  2 Br 2.45, 4 W 2.56
2 W 0.5000 0.5000 0.1550 x1  2 Br 2.53, 4 Mn 2.56
3 Br 0.0018 0.5000 0.7677 x1  2 Mn 2.45
4 Br 0.5004 0.0000 0.3995 x1  2 W 2.53

Results
As for the energy above the most stable polymorph in this dataset: 0.0000 eV/atom. Its crystal system is monoclinic. As for the uncorrected formation energy: 129 meV/atom.

---

LaSb2Mo | SCAN | PBEsol geometry

abc: 4.4059 4.4059 9.9112
angles: 90.00 90.00 90.00
With the nearest neighbours (Å) after each atom.
Space group I-4m2 (No. 119)
Symmetry-distinct sites (fractional):
1 La 0.0000 0.0000 0.0000 x2  8 Sb 3.12-3.32, 4 Mo 3.32
2 Sb 0.0000 0.0000 0.5000 x2  4 La 3.12, 4 Mo 3.32, 4 Sb 3.32
3 Sb 0.0000 0.5000 0.7500 x2  4 Mo 3.12, 4 La 3.32, 4 Sb 3.32
4 Mo 0.0000 0.5000 0.2500 x2  8 Sb 3.12-3.32, 4 La 3.32

Results
As for the energy above the most stable polymorph in this dataset: 0.0829 eV/atom. Its crystal system is tetragonal. As for the uncorrected formation energy: -36 meV/atom.

---

Y3MgN | SCAN | PBEsol geometry

abc: 4.8189 4.8189 4.8189
angles: 90.00 90.00 90.00
With the nearest neighbours (Å) after each atom.
Space group Pm-3m (No. 221)
Symmetry-distinct sites (fractional):
1 Y 0.0000 0.0000 0.5000 x3  2 N 2.41
2 Mg 0.5000 0.5000 0.5000 x1  12 Y 3.41
3 N 0.0000 0.0000 0.0000 x1  6 Y 2.41

Results
Its crystal system is cubic. As for the uncorrected formation energy: -855 meV/atom.

---

Here are the calculated raw total energy numbers, same order: -49.277; -30.716; -50.074; -31.587; -38.164; -20.414 (eV/atom).